# ReOs2Pb

ReOs2Pb after structural relaxation (PBE, Alexandria via LeMat-Bulk).

E_form in eV/atom: 1.080

Cell lengths 4.7322, 4.7322, 2.9889 Å; angles 90.00, 90.00, 90.00 degrees
Closest atoms and distances in Å follow each position.
Space group P4/mmm (No. 123)
Asymmetric unit:
Re 0.0000 0.0000 0.0000 [1 per cell]  8 Os 2.80, 2 Re 2.99
Os 0.0000 0.5000 0.5000 [2 per cell]  4 Pb 2.80, 4 Re 2.80, 2 Os 2.99
Pb 0.5000 0.5000 0.0000 [1 per cell]  8 Os 2.80, 2 Pb 2.99

# Re2OsPb

Re2OsPb after structural relaxation (PBE, Alexandria via LeMat-Bulk).

E_form in eV/atom: 1.142

Cell lengths 3.8537, 3.8537, 4.5412 Å; angles 90.00, 90.00, 90.00 degrees
Closest atoms and distances in Å follow each position.
Space group P4/mmm (No. 123)
Asymmetric unit:
Re 0.0000 0.5000 0.0000 [2 per cell]  4 Re 2.72, 4 Pb 2.98, 4 Os 2.98
Os 0.0000 0.0000 0.5000 [1 per cell]  4 Pb 2.72, 8 Re 2.98
Pb 0.5000 0.5000 0.5000 [1 per cell]  4 Os 2.72, 8 Re 2.98

# Re2OsPb

Re2OsPb after structural relaxation (PBE, Alexandria via LeMat-Bulk).

E_form in eV/atom: 0.655

Cell lengths 2.9116, 2.9116, 28.1306 Å; angles 90.00, 90.00, 120.00 degrees
Closest atoms and distances in Å follow each position.
Space group R3m (No. 160, hexagonal axes)
Asymmetric unit:
Re 0.0000 0.0000 0.0000 [3 per cell]  9 Re 2.69-2.91
Re 0.0000 0.0000 0.2587 [3 per cell]  3 Os 2.67, 9 Re 2.69-2.91
Os 0.0000 0.0000 0.5182 [3 per cell]  3 Re 2.67, 6 Os 2.91
Pb 0.0000 0.0000 0.7590 [3 per cell]  6 Pb 2.91, 3 Re 3.09, 3 Os 3.10

# Re2OsPb

Re2OsPb after structural relaxation (PBE, Alexandria via LeMat-Bulk).

E_form in eV/atom: 0.955

Cell lengths 2.9635, 4.8513, 9.9458 Å; angles 90.00, 90.00, 90.00 degrees
Closest atoms and distances in Å follow each position.
Space group Cmm2 (No. 35)
Asymmetric unit:
Re 0.0000 0.0000 0.0000 [2 per cell]  6 Re 2.62-2.84
Re 0.0000 0.5000 0.2172 [2 per cell]  6 Re 2.62-2.84, 2 Os 2.62
Os 0.0000 0.0000 0.4345 [2 per cell]  2 Re 2.62, 4 Os 2.84
Pb 0.0000 0.5000 0.7139 [2 per cell]  6 Pb 2.84-2.96, 2 Os 3.15

# ReOs2Pb

ReOs2Pb after structural relaxation (PBE, Alexandria via LeMat-Bulk).

E_form in eV/atom: 1.000

Cell lengths 2.9241, 4.8861, 9.9424 Å; angles 90.00, 90.00, 90.00 degrees
Closest atoms and distances in Å follow each position.
Space group Cmmm (No. 65)
Asymmetric unit:
Re 0.0000 0.0000 0.0000 [2 per cell]  4 Os 2.61, 4 Re 2.85
Os 0.0000 0.5000 0.2173 [4 per cell]  2 Re 2.61, 4 Os 2.85
Pb 0.0000 0.0000 0.5000 [2 per cell]  6 Pb 2.85-2.92, 4 Os 3.17

# Re2OsPb

Re2OsPb after structural relaxation (PBE, Alexandria via LeMat-Bulk).

E_form in eV/atom: 0.959

Cell lengths 3.9435, 3.9435, 8.5302 Å; angles 90.00, 90.00, 90.00 degrees
Closest atoms and distances in Å follow each position.
Space group I4/mmm (No. 139)
Asymmetric unit:
Re 0.0000 0.5000 0.2500 [4 per cell]  4 Re 2.79, 4 Pb 2.90, 4 Os 2.90
Os 0.0000 0.0000 0.0000 [2 per cell]  4 Pb 2.79, 8 Re 2.90
Pb 0.0000 0.0000 0.5000 [2 per cell]  4 Os 2.79, 8 Re 2.90

# ReOs2Pb

ReOs2Pb after structural relaxation (PBE, Alexandria via LeMat-Bulk).

E_form in eV/atom: 0.893

Cell lengths 2.8511, 4.2071, 12.2229 Å; angles 90.00, 90.00, 90.00 degrees
Closest atoms and distances in Å follow each position.
Space group Imm2 (No. 44)
Asymmetric unit:
Re 0.0000 0.0000 0.0000 [2 per cell]  6 Os 2.55-2.69, 2 Re 2.85
Os 0.0000 0.0000 0.4267 [2 per cell]  4 Re 2.69, 2 Os 2.85, 2 Pb 2.89
Os 0.0000 0.5000 0.6729 [2 per cell]  2 Re 2.55, 4 Pb 2.78, 2 Os 2.85
Pb 0.0000 0.5000 0.2645 [2 per cell]  6 Os 2.78-2.89, 2 Pb 2.85

# ReOs2Pb

ReOs2Pb after structural relaxation (PBE, Alexandria via LeMat-Bulk).

E_form in eV/atom: 1.029

Cell lengths 2.8629, 4.7553, 10.2006 Å; angles 90.00, 90.00, 90.00 degrees
Closest atoms and distances in Å follow each position.
Space group Immm (No. 71)
Asymmetric unit:
Re 0.0000 0.0000 0.0000 [2 per cell]  4 Os 2.67, 4 Pb 2.78, 2 Re 2.86
Os 0.0000 0.5000 0.2795 [4 per cell]  2 Re 2.67, 6 Os 2.84-2.86
Pb 0.0000 0.0000 0.5000 [2 per cell]  4 Re 2.78, 2 Pb 2.86

# ReOs2Pb

ReOs2Pb after structural relaxation (PBE, Alexandria via LeMat-Bulk).

E_form in eV/atom: 0.946

Cell lengths 4.1068, 4.1068, 7.7886 Å; angles 90.00, 90.00, 90.00 degrees
Closest atoms and distances in Å follow each position.
Space group I4/mmm (No. 139)
Asymmetric unit:
Re 0.0000 0.0000 0.0000 [2 per cell]  8 Os 2.83, 4 Pb 2.90
Os 0.0000 0.5000 0.2500 [4 per cell]  4 Pb 2.83, 4 Re 2.83, 4 Os 2.90
Pb 0.0000 0.0000 0.5000 [2 per cell]  8 Os 2.83, 4 Re 2.90

# ReOs3Pb

ReOs3Pb after structural relaxation (PBE, Alexandria via LeMat-Bulk).

E_form in eV/atom: 1.982

Cell lengths 4.7766, 4.7766, 4.7766 Å; angles 90.00, 90.00, 90.00 degrees
Closest atoms and distances in Å follow each position.
Space group Pm-3m (No. 221)
Asymmetric unit:
Re 0.0000 0.0000 0.0000 [1 per cell]  6 Os 2.39
Os 0.0000 0.0000 0.5000 [3 per cell]  2 Re 2.39
Pb 0.5000 0.5000 0.5000 [1 per cell]  12 Os 3.38

# ReOs2Pb

ReOs2Pb after structural relaxation (PBE, Alexandria via LeMat-Bulk).

E_form in eV/atom: 0.765

Cell lengths 2.8817, 2.8817, 28.5499 Å; angles 90.00, 90.00, 120.00 degrees
Closest atoms and distances in Å follow each position.
Space group R3m (No. 160, hexagonal axes)
Asymmetric unit:
Re 0.0000 0.0000 0.0000 [3 per cell]  3 Os 2.67, 6 Re 2.88
Os 0.0000 0.0000 0.2601 [3 per cell]  3 Re 2.67, 9 Os 2.70-2.88
Os 0.0000 0.0000 0.5192 [3 per cell]  9 Os 2.70-2.88
Pb 0.0000 0.0000 0.7606 [3 per cell]  6 Pb 2.88, 3 Os 3.11, 3 Re 3.16

# ReOs2Pb

ReOs2Pb after structural relaxation (PBE, Alexandria via LeMat-Bulk).

E_form in eV/atom: 1.445

Cell lengths 6.0327, 6.0327, 11.0094 Å; angles 90.00, 90.00, 90.00 degrees
Closest atoms and distances in Å follow each position.
Space group I-42d (No. 122)
Asymmetric unit:
Re 0.0000 0.0000 0.0000 [4 per cell]  4 Os 2.40
Os 0.2091 0.2500 0.1250 [8 per cell]  2 Re 2.40
Pb 0.0000 0.0000 0.5000 [4 per cell]  4 Os 2.69

# Re2OsPb

Re2OsPb after structural relaxation (PBE, Alexandria via LeMat-Bulk).

E_form in eV/atom: 0.786

Cell lengths 2.8833, 3.9095, 6.1700 Å; angles 90.00, 90.00, 90.00 degrees
Closest atoms and distances in Å follow each position.
Space group Pmm2 (No. 25)
Asymmetric unit:
Re 0.0000 0.0000 0.0000 [1 per cell]  1 Os 2.56, 4 Re 2.67
Re 0.5000 0.5000 0.1807 [1 per cell]  6 Re 2.67-2.88, 4 Os 2.83
Os 0.0000 0.0000 0.4149 [1 per cell]  5 Re 2.56-2.83
Pb 0.5000 0.5000 0.6876 [1 per cell]  2 Pb 2.88, 4 Os 2.95, 6 Re 3.04-3.13

# ReOsPb2

ReOsPb2 after structural relaxation (PBE, Alexandria via LeMat-Bulk).

E_form in eV/atom: 1.325

Cell lengths 3.2279, 4.5387, 5.4396 Å; angles 90.00, 90.00, 90.00 degrees
Closest atoms and distances in Å follow each position.
Space group Pmmm (No. 47)
Asymmetric unit:
Re 0.0000 0.0000 0.0000 [1 per cell]  4 Pb 2.78
Os 0.5000 0.0000 0.5000 [1 per cell]  4 Pb 2.78
Pb 0.0000 0.5000 0.5000 [1 per cell]  4 Os 2.78
Pb 0.5000 0.5000 0.0000 [1 per cell]  4 Re 2.78

# ReOsPb4

ReOsPb4 after structural relaxation (PBE, Alexandria via LeMat-Bulk).

E_form in eV/atom: 1.863

Cell lengths 8.6365, 8.6365, 8.6365 Å; angles 90.00, 90.00, 90.00 degrees
Closest atoms and distances in Å follow each position.
Space group F-43m (No. 216)
Asymmetric unit:
Re 0.0000 0.0000 0.0000 [4 per cell]  12 Pb 3.58, 4 Os 3.74
Os 0.2500 0.2500 0.7500 [4 per cell]  12 Pb 3.58, 4 Re 3.74
Pb 0.1250 0.1250 0.3750 [16 per cell]  6 Pb 3.05

# Re2OsPb

Re2OsPb after structural relaxation (PBE, Alexandria via LeMat-Bulk).

E_form in eV/atom: 0.787

Cell lengths 2.8240, 3.7334, 6.9210 Å; angles 90.00, 90.00, 90.00 degrees
Closest atoms and distances in Å follow each position.
Space group Pmmm (No. 47)
Asymmetric unit:
Re 0.0000 0.0000 0.1887 [2 per cell]  3 Re 2.61-2.82, 4 Os 2.68
Os 0.5000 0.5000 0.0000 [1 per cell]  8 Re 2.68, 2 Os 2.82
Pb 0.5000 0.5000 0.5000 [1 per cell]  2 Pb 2.82

# ReOs2Pb

ReOs2Pb after structural relaxation (PBE, Alexandria via LeMat-Bulk).

E_form in eV/atom: 1.093

Cell lengths 6.4264, 6.4264, 6.4264 Å; angles 90.00, 90.00, 90.00 degrees
Closest atoms and distances in Å follow each position.
Space group F-43m (No. 216)
Asymmetric unit:
Re 0.0000 0.0000 0.0000 [4 per cell]  4 Pb 2.78, 4 Os 2.78
Os 0.0000 0.0000 0.5000 [4 per cell]  4 Pb 2.78, 4 Os 2.78
Os 0.2500 0.2500 0.7500 [4 per cell]  4 Re 2.78, 4 Os 2.78
Pb 0.2500 0.2500 0.2500 [4 per cell]  4 Re 2.78, 4 Os 2.78

# Re2OsPb

Re2OsPb after structural relaxation (PBE, Alexandria via LeMat-Bulk).

E_form in eV/atom: 1.025

Cell lengths 3.1078, 4.6525, 9.2326 Å; angles 90.00, 90.00, 90.00 degrees
Closest atoms and distances in Å follow each position.
Space group Immm (No. 71)
Asymmetric unit:
Re 0.0000 0.0000 0.2460 [4 per cell]  2 Pb 2.75, 4 Re 2.80, 2 Os 2.81
Os 0.0000 0.5000 0.0000 [2 per cell]  4 Pb 2.80, 4 Re 2.81, 2 Os 3.11
Pb 0.0000 0.5000 0.5000 [2 per cell]  4 Re 2.75, 4 Os 2.80

# ReOsPb2

ReOsPb2 after structural relaxation (PBE, Alexandria via LeMat-Bulk).

E_form in eV/atom: 1.323

Cell lengths 3.2514, 5.4143, 9.0508 Å; angles 90.00, 90.00, 90.00 degrees
Closest atoms and distances in Å follow each position.
Space group Immm (No. 71)
Asymmetric unit:
Re 0.0000 0.0000 0.0000 [2 per cell]  4 Pb 2.81
Os 0.0000 0.0000 0.5000 [2 per cell]  4 Pb 2.76
Pb 0.0000 0.5000 0.2470 [4 per cell]  2 Os 2.76, 2 Re 2.81

# Re2OsPb

Re2OsPb after structural relaxation (PBE, Alexandria via LeMat-Bulk).

E_form in eV/atom: 1.024

Cell lengths 6.4452, 6.4452, 6.4452 Å; angles 90.00, 90.00, 90.00 degrees
Closest atoms and distances in Å follow each position.
Space group F-43m (No. 216)
Asymmetric unit:
Re 0.0000 0.0000 0.0000 [4 per cell]  4 Re 2.79, 4 Pb 2.79
Re 0.2500 0.2500 0.2500 [4 per cell]  4 Re 2.79, 4 Os 2.79
Os 0.0000 0.0000 0.5000 [4 per cell]  4 Pb 2.79, 4 Re 2.79
Pb 0.2500 0.2500 0.7500 [4 per cell]  4 Re 2.79, 4 Os 2.79

Number 1: density of states at the Fermi level 5.49 states/eV/cell. Number 2: density of states at the Fermi level 6.28 states/eV/cell. Number 3: density of states at the Fermi level 10.01 states/eV/cell. Number 4: density of states at the Fermi level 9.10 states/eV/cell. Number 5: density of states at the Fermi level 9.81 states/eV/cell. Number 6: density of states at the Fermi level 9.17 states/eV/cell. Number 7: density of states at the Fermi level 6.44 states/eV/cell. Number 8: density of states at the Fermi level 8.24 states/eV/cell. Number 9: density of states at the Fermi level 10.79 states/eV/cell. Number 10: density of states at the Fermi level 7.15 states/eV/cell. Number 11: density of states at the Fermi level 11.83 states/eV/cell. Number 12: density of states at the Fermi level 17.14 states/eV/cell. Number 13: density of states at the Fermi level 3.96 states/eV/cell. Number 14: density of states at the Fermi level 3.69 states/eV/cell. Number 15: density of states at the Fermi level 15.59 states/eV/cell. Number 16: density of states at the Fermi level 4.15 states/eV/cell. Number 17: density of states at the Fermi level 15.63 states/eV/cell. Number 18: density of states at the Fermi level 7.46 states/eV/cell. Number 19: density of states at the Fermi level 8.42 states/eV/cell. Number 20: density of states at the Fermi level 13.73 states/eV/cell.